<one>
DFT (GGA-PBE) results for a relaxed structure of Li2AcAg.

Properties
Fermi-level density of states: 2.11 states/eV/f.u.

Unit cell a=4.374 b=8.125 c=6.115 alpha=90.00 beta=110.81 gamma=90.00
Element x y z (fractional)
Li: 0.164 0.058 0.330
Li: 0.164 0.442 0.330
Li: 0.836 0.558 0.670
Li: 0.836 0.942 0.670
Ac: 0.445 0.250 0.891
Ac: 0.555 0.750 0.109
Ag: 0.273 0.750 0.546
Ag: 0.727 0.250 0.454

<two>
DFT (GGA-PBE) results for a relaxed structure of Li2AcAg.

Properties
Fermi-level density of states: 2.44 states/eV/f.u.

Unit cell a=3.599 b=3.599 c=7.532 alpha=90.00 beta=90.00 gamma=90.00
Element x y z (fractional)
Li: 0.000 0.000 0.173
Li: 0.000 0.000 0.827
Ac: 0.500 0.500 0.500
Ag: 0.500 0.500 0.000

<three>
DFT (GGA-PBE) results for a relaxed structure of Li2AcAg.

Properties
Fermi-level density of states: 3.23 states/eV/f.u.

Unit cell a=4.649 b=4.649 c=16.472 alpha=90.00 beta=90.00 gamma=120.00
Element x y z (fractional)
Li: 0.000 0.000 0.000
Li: 0.000 0.000 0.292
Li: 0.333 0.667 0.667
Li: 0.333 0.667 0.958
Li: 0.667 0.333 0.333
Li: 0.667 0.333 0.625
Ac: 0.000 0.000 0.801
Ac: 0.333 0.667 0.467
Ac: 0.667 0.333 0.134
Ag: 0.000 0.000 0.598
Ag: 0.333 0.667 0.265
Ag: 0.667 0.333 0.932

Energies relative to the most stable structure, in eV/atom: <one> 0.000; <two> 0.126; <three> 0.042.

<one>
DFT (GGA-PBE) results for a relaxed structure of Li4Ac3Ag4.

Properties
Fermi-level density of states: 6.23 states/eV/f.u.

Unit cell a=4.176 b=4.585 c=15.048 alpha=98.54 beta=97.97 gamma=90.04
Element x y z (fractional)
Li: 0.095 0.095 0.193
Li: 0.249 0.749 0.498
Li: 0.751 0.251 0.502
Li: 0.905 0.905 0.807
Ac: 0.354 0.355 0.706
Ac: 0.500 0.000 0.000
Ac: 0.646 0.645 0.294
Ag: 0.050 0.550 0.100
Ag: 0.189 0.188 0.380
Ag: 0.811 0.812 0.620
Ag: 0.950 0.450 0.900

<two>
DFT (GGA-PBE) results for a relaxed structure of Li4Ac3Ag4.

Properties
Fermi-level density of states: 6.63 states/eV/f.u.

Unit cell a=9.037 b=9.037 c=9.037 alpha=151.45 beta=126.71 gamma=61.57
Element x y z (fractional)
Li: 0.012 0.823 0.189
Li: 0.366 0.177 0.189
Li: 0.634 0.823 0.811
Li: 0.988 0.177 0.811
Ac: 0.000 0.500 0.500
Ac: 0.375 0.375 0.000
Ac: 0.625 0.625 0.000
Ag: 0.216 0.716 0.500
Ag: 0.310 0.000 0.310
Ag: 0.690 0.000 0.690
Ag: 0.784 0.284 0.500

Energies relative to the most stable structure, in eV/atom: <one> 0.008; <two> 0.000.

<one>
DFT (GGA-PBE) results for a relaxed structure of LiAc2Ag.

Properties
Fermi-level density of states: 2.94 states/eV/f.u.

Unit cell a=4.024 b=4.024 c=7.967 alpha=90.00 beta=90.00 gamma=90.00
Element x y z (fractional)
Li: 0.000 0.000 0.000
Ac: 0.500 0.500 0.263
Ac: 0.500 0.500 0.737
Ag: 0.000 0.000 0.500

<two>
DFT (GGA-PBE) results for a relaxed structure of LiAc2Ag.

Properties
Fermi-level density of states: 3.72 states/eV/f.u.

Unit cell a=3.754 b=3.754 c=35.516 alpha=90.00 beta=90.00 gamma=120.00
Element x y z (fractional)
Li: 0.000 0.000 0.000
Li: 0.333 0.667 0.667
Li: 0.667 0.333 0.333
Ac: 0.000 0.000 0.412
Ac: 0.000 0.000 0.588
Ac: 0.333 0.667 0.079
Ac: 0.333 0.667 0.254
Ac: 0.667 0.333 0.746
Ac: 0.667 0.333 0.921
Ag: 0.000 0.000 0.500
Ag: 0.333 0.667 0.167
Ag: 0.667 0.333 0.833

<three>
DFT (GGA-PBE) results for a relaxed structure of LiAc2Ag.

Properties
Fermi-level density of states: 3.28 states/eV/f.u.

Unit cell a=4.142 b=5.180 c=11.907 alpha=90.00 beta=90.00 gamma=90.00
Element x y z (fractional)
Li: 0.000 0.000 0.000
Li: 0.000 0.500 0.500
Ac: 0.000 0.000 0.294
Ac: 0.000 0.500 0.794
Ac: 0.500 0.000 0.586
Ac: 0.500 0.500 0.086
Ag: 0.500 0.000 0.863
Ag: 0.500 0.500 0.363

<four>
DFT (GGA-PBE) results for a relaxed structure of LiAc2Ag.

Properties
Fermi-level density of states: 5.02 states/eV/f.u.

Unit cell a=4.453 b=4.453 c=23.134 alpha=90.00 beta=90.00 gamma=120.00
Element x y z (fractional)
Li: 0.000 0.000 0.000
Li: 0.333 0.667 0.667
Li: 0.667 0.333 0.333
Ac: 0.000 0.000 0.231
Ac: 0.000 0.000 0.430
Ac: 0.333 0.667 0.096
Ac: 0.333 0.667 0.898
Ac: 0.667 0.333 0.564
Ac: 0.667 0.333 0.763
Ag: 0.000 0.000 0.662
Ag: 0.333 0.667 0.329
Ag: 0.667 0.333 0.995

Energies relative to the most stable structure, in eV/atom: <one> 0.000; <two> 0.490; <three> 0.008; <four> 0.057.